Entry 1:
# ScTiGa4

A relaxed structure of ScTiGa4 (PBE-GGA, the Alexandria database).

Properties
**SG**: R-3m
**Calculated formation energy**: -119 kJ/mol of formula units
**Relative energy among the computed polymorphs**: 168 meV per atom
**Theoretical density**: 5.2 g/cm3
**Total DFT energy (no corrections)**: -4.59 eV/atom

Cell and atoms, written as POSCAR:
```
ScTiGa4
1.0
1.9032 1.0988 9.4892
-1.9032 1.0988 9.4892
0.0000 -2.1976 9.4892
Sc Ti Ga
1 1 4
Cartesian
0.0000 0.0000 0.0000
0.0000 0.0000 14.2338
0.0000 0.0000 3.1950
0.0000 0.0000 11.3817
0.0000 0.0000 17.0858
0.0000 0.0000 25.2726
```

***

Entry 2:
# Sc8TiGa2

A relaxed structure of Sc8TiGa2 (PBE-GGA, the Alexandria database).

Properties
**SG**: C2/m
**Calculated formation energy**: -202 kJ/mol of formula units
**Theoretical density**: 3.8 g/cm3
**Total DFT energy (no corrections)**: -6.06 eV/atom

Cell and atoms, written as POSCAR:
```
Sc8TiGa2
1.0
7.5408 -2.3355 0.0000
7.5408 2.3355 0.0000
-2.9305 0.0000 6.8036
Sc Ti Ga
8 1 2
Cartesian
0.0344 0.0000 1.6464
0.1731 0.0000 4.8541
3.1918 0.0000 3.7599
5.8052 0.0000 0.2680
6.3460 0.0000 6.5356
8.9593 0.0000 3.0437
11.9781 0.0000 1.9494
12.1168 0.0000 5.1571
6.0756 0.0000 3.4018
2.8414 0.0000 1.0147
9.3098 0.0000 5.7889
```

***

Entry 3:
# ScTi2Ga

A relaxed structure of ScTi2Ga (PBE-GGA, the Alexandria database).

Properties
**SG**: Pmma
**Calculated formation energy**: -117 kJ/mol of formula units
**Theoretical density**: 4.8 g/cm3
**Total DFT energy (no corrections)**: -6.59 eV/atom

Cell and atoms, written as POSCAR:
```
ScTi2Ga
1.0
4.3426 0.0000 0.0000
0.0000 3.6529 0.0000
0.0000 0.0000 9.1950
Sc Ti Ga
2 4 2
Cartesian
1.0856 0.0000 1.1071
3.2569 0.0000 8.0878
1.0856 0.0000 5.7074
1.0856 1.8264 3.6435
3.2569 0.0000 3.4876
3.2569 1.8264 5.5515
1.0856 1.8264 7.7527
3.2569 1.8264 1.4423
```

***

Entry 4:
# ScTiGa2

A relaxed structure of ScTiGa2 (PBE-GGA, the Alexandria database).

Properties
**SG**: R-3m
**Calculated formation energy**: -118 kJ/mol of formula units
**Relative energy among the computed polymorphs**: 191 meV per atom
**Theoretical density**: 5.2 g/cm3
**Total DFT energy (no corrections)**: -5.38 eV/atom

Cell and atoms, written as POSCAR:
```
ScTiGa2
1.0
1.5866 0.9160 8.5597
-1.5866 0.9160 8.5597
0.0000 -1.8321 8.5597
Sc Ti Ga
1 1 2
Cartesian
0.0000 0.0000 0.0000
0.0000 0.0000 12.8396
0.0000 0.0000 6.3391
0.0000 0.0000 19.3401
```

***

Entry 5:
# Sc2TiGa

A relaxed structure of Sc2TiGa (PBE-GGA, the Alexandria database).

Properties
**SG**: R3m
**Calculated formation energy**: -61 kJ/mol of formula units
**Theoretical density**: 4.2 g/cm3
**Total DFT energy (no corrections)**: -6.05 eV/atom

Cell and atoms, written as POSCAR:
```
Sc2TiGa
1.0
1.5817 0.9132 9.4227
-1.5817 0.9132 9.4227
0.0000 -1.8264 9.4227
Sc Ti Ga
2 1 1
Cartesian
0.0000 0.0000 0.0000
0.0000 0.0000 4.7962
0.0000 0.0000 11.8194
0.0000 0.0000 16.5262
```

***

Entry 6:
# Sc2TiGa

A relaxed structure of Sc2TiGa (PBE-GGA, the Alexandria database).

Properties
**SG**: P4/mmm
**Calculated formation energy**: -101 kJ/mol of formula units
**Theoretical density**: 4.4 g/cm3
**Total DFT energy (no corrections)**: -6.16 eV/atom

Cell and atoms, written as POSCAR:
```
Sc2TiGa
1.0
3.1913 0.0000 0.0000
0.0000 3.1913 0.0000
0.0000 0.0000 7.7750
Sc Ti Ga
2 1 1
Cartesian
0.0000 0.0000 1.8483
0.0000 0.0000 5.9267
1.5956 1.5956 3.8875
1.5956 1.5956 0.0000
```

***

Entry 7:
# Sc2TiGa

A relaxed structure of Sc2TiGa (PBE-GGA, the Alexandria database).

Properties
**SG**: I-42d
**Calculated formation energy**: 48 kJ/mol of formula units
**Theoretical density**: 4.1 g/cm3
**Total DFT energy (no corrections)**: -5.77 eV/atom

Cell and atoms, written as POSCAR:
```
Sc2TiGa
1.0
-3.8187 3.8187 2.8571
3.8187 -3.8187 2.8571
3.8187 3.8187 -2.8571
Sc Ti Ga
4 2 2
Cartesian
5.7280 1.7533 -0.7143
1.7533 1.9093 0.7143
-1.9093 2.0654 2.1428
2.0654 1.9093 3.5714
3.8187 0.0000 1.4286
0.0000 0.0000 2.8571
0.0000 0.0000 0.0000
0.0000 3.8187 1.4286
```

***

Entry 8:
# ScTi2Ga

A relaxed structure of ScTi2Ga (PBE-GGA, the Alexandria database).

Properties
**SG**: P4/mmm
**Calculated formation energy**: -94 kJ/mol of formula units
**Theoretical density**: 5.0 g/cm3
**Total DFT energy (no corrections)**: -6.53 eV/atom

Cell and atoms, written as POSCAR:
```
ScTi2Ga
1.0
4.1158 0.0000 0.0000
0.0000 4.1158 0.0000
0.0000 0.0000 4.1652
Sc Ti Ga
1 2 1
Cartesian
0.0000 0.0000 0.0000
0.0000 2.0579 2.0826
2.0579 0.0000 2.0826
2.0579 2.0579 0.0000
```